Ce3Ni4Ge4: relaxed, PBE.

a b c (Å): 7.9822 7.9822 7.9822
angles (deg): 149.34 131.09 58.84
Fractional coordinates of all 11 atoms:
1 Ce 0.0000 0.0000 0.0000
2 Ce 0.3666 0.8666 0.5000
3 Ce 0.6334 0.1334 0.5000
4 Ni 0.0214 0.3272 0.6942
5 Ni 0.3670 0.6728 0.6942
6 Ni 0.6330 0.3272 0.3058
7 Ni 0.9786 0.6728 0.3058
8 Ge 0.2141 0.2141 0.0000
9 Ge 0.3066 0.5000 0.8066
10 Ge 0.6934 0.5000 0.1934
11 Ge 0.7859 0.7859 0.0000

Computed properties:
**SG**: Immm (71)
**Total energy**: -66.74 eV per formula unit

CaTcW2: relaxed, PBE.

a b c (Å): 5.4963 5.4963 5.4963
angles (deg): 139.00 139.00 59.37
Fractional coordinates of all 4 atoms:
1 Ca 0.0000 0.0000 0.0000
2 Tc 0.5000 0.5000 0.0000
3 W 0.2500 0.7500 0.5000
4 W 0.7500 0.2500 0.5000

Computed properties:
**Energy relative to the lowest polymorph listed for this composition**: 0.4217 eV per atom
**SG**: I4/mmm (139)
**Total energy**: -34.61 eV per formula unit

Hg2HS: relaxed, PBE.

a b c (Å): 7.4369 7.4369 7.4369
angles (deg): 141.22 141.22 56.00
Fractional coordinates of all 8 atoms:
1 Hg 0.0409 0.6250 0.9159
2 Hg 0.3750 0.2909 0.4159
3 Hg 0.7091 0.1250 0.0841
4 Hg 0.8750 0.9591 0.5841
5 H 0.0000 0.0000 0.0000
6 H 0.7500 0.2500 0.5000
7 S 0.2500 0.7500 0.5000
8 S 0.5000 0.5000 0.0000

Computed properties:
**Energy relative to the lowest polymorph listed for this composition**: 0.0000 eV per atom
**SG**: I-42d (122)
**Total energy**: -7.02 eV per formula unit

MnBe2Br: relaxed, PBE.

a b c (Å): 4.2607 4.2607 4.2607
angles (deg): 60.00 60.00 60.00
Fractional coordinates of all 4 atoms:
1 Mn 0.0000 0.0000 0.0000
2 Be 0.2500 0.2500 0.2500
3 Be 0.7500 0.7500 0.7500
4 Br 0.5000 0.5000 0.5000

Computed properties:
**E_form (uncorrected)**: 1.132 eV/atom
**Energy relative to the lowest polymorph listed for this composition**: 0.9453 eV per atom
**SG**: Fm-3m (225)
**Total energy**: -13.77 eV per formula unit

RbNa2PbSe: relaxed, PBE.

a b c (Å): 5.5965 5.5965 6.6932
angles (deg): 90.00 90.00 90.00
Fractional coordinates of all 5 atoms:
1 Rb 0.0000 0.0000 0.0000
2 Na 0.0000 0.5000 0.5000
3 Na 0.5000 0.0000 0.5000
4 Pb 0.5000 0.5000 0.0000
5 Se 0.0000 0.0000 0.5000

Computed properties:
**E_form (uncorrected)**: -0.333 eV/atom
**SG**: P4/mmm (123)
**Total energy**: -12.46 eV per formula unit

AcZr2NbO8: relaxed, PBE.

a b c (Å): 5.0260 6.8645 5.0335
angles (deg): 90.00 91.76 90.00
Fractional coordinates of all 12 atoms:
1 Ac 0.0000 0.0000 0.0000
2 Zr 0.5000 0.2565 0.5000
3 Zr 0.5000 0.7435 0.5000
4 Nb 0.0000 0.5000 0.0000
5 O 0.2026 0.2936 0.1996
6 O 0.2026 0.7064 0.1996
7 O 0.2934 0.5000 0.7046
8 O 0.3281 0.0000 0.6660
9 O 0.6719 0.0000 0.3340
10 O 0.7066 0.5000 0.2954
11 O 0.7974 0.2936 0.8004
12 O 0.7974 0.7064 0.8004

Computed properties:
**E_form (uncorrected)**: -3.047 eV/atom
**SG**: P2/m (10)
**Total energy**: -107.50 eV per formula unit